Nd2Er17 | PBE-GGA | relaxed

For the formation energy, the calculation gives 279.8 meV/atom. As for the total energy: -4.305 eV/atom. As for the space group: No. 166. The density of states at the Fermi level is 38.80 states/eV/f.u.

a = 8.660 Å, b = 8.660 Å, c = 8.660 Å
α = 80.47°, β = 80.47°, γ = 80.47°
Atoms (fractional coordinates):
Nd  0.171  0.171  0.171
Nd  0.829  0.829  0.829
Er  0.000  0.500  0.500
Er  0.135  0.135  0.648
Er  0.135  0.648  0.135
Er  0.202  0.500  0.798
Er  0.202  0.798  0.500
Er  0.352  0.865  0.865
Er  0.401  0.401  0.401
Er  0.500  0.000  0.500
Er  0.500  0.202  0.798
Er  0.500  0.500  0.000
Er  0.500  0.798  0.202
Er  0.599  0.599  0.599
Er  0.648  0.135  0.135
Er  0.798  0.202  0.500
Er  0.798  0.500  0.202
Er  0.865  0.352  0.865
Er  0.865  0.865  0.352


TiSb2TeC | PBE-GGA | relaxed

Its formation energy without anion corrections is 0.908 eV per atom. As for the total energy: -4.793 eV/atom. As for the space group: No. 123. The value obtained for the energy above the most stable polymorph in this dataset is 0 meV/atom. The density of states at the Fermi level is 4.55 states/eV/f.u.

a = 4.698 Å, b = 4.698 Å, c = 4.718 Å
α = 90.00°, β = 90.00°, γ = 90.00°
Atoms (fractional coordinates):
Ti  0.000  0.000  0.000
Sb  0.000  0.500  0.500
Sb  0.500  0.000  0.500
Te  0.500  0.500  0.000
C  0.500  0.500  0.500


ScCd2Os | PBE-GGA | relaxed

For the formation energy, the calculation gives 372.2 meV/atom. As for the total energy: -4.476 eV/atom. As for the space group: No. 166. The value obtained for the energy above the most stable polymorph in this dataset is 396 meV/atom. The density of states at the Fermi level is 5.03 states/eV/f.u.

a = 10.161 Å, b = 10.161 Å, c = 10.161 Å
α = 16.74°, β = 16.74°, γ = 16.74°
Atoms (fractional coordinates):
Sc  0.000  0.000  0.000
Cd  0.245  0.245  0.245
Cd  0.755  0.755  0.755
Os  0.500  0.500  0.500


In6BiPb12 | PBE-GGA | relaxed

For the formation energy, the calculation gives 70.4 meV/atom. As for the total energy: -3.341 eV/atom. As for the space group: No. 148. The value obtained for the energy above the most stable polymorph in this dataset is 11 meV/atom. The density of states at the Fermi level is 8.27 states/eV/f.u.

a = 8.867 Å, b = 8.867 Å, c = 8.867 Å
α = 104.78°, β = 104.78°, γ = 104.78°
Atoms (fractional coordinates):
In  0.064  0.316  0.236
In  0.236  0.064  0.316
In  0.316  0.236  0.064
In  0.684  0.764  0.936
In  0.764  0.936  0.684
In  0.936  0.684  0.764
Bi  0.500  0.500  0.500
Pb  0.014  0.674  0.142
Pb  0.142  0.014  0.674
Pb  0.193  0.647  0.540
Pb  0.326  0.858  0.986
Pb  0.353  0.460  0.807
Pb  0.460  0.807  0.353
Pb  0.540  0.193  0.647
Pb  0.647  0.540  0.193
Pb  0.674  0.142  0.014
Pb  0.807  0.353  0.460
Pb  0.858  0.986  0.326
Pb  0.986  0.326  0.858


CoBr2Cl | PBE-GGA | relaxed

Its formation energy without anion corrections is -0.044 eV per atom. As for the total energy: -3.119 eV/atom. As for the space group: No. 166. The value obtained for the energy above the most stable polymorph in this dataset is 282 meV/atom. The density of states at the Fermi level is 0.32 states/eV/f.u.

a = 7.530 Å, b = 7.530 Å, c = 7.530 Å
α = 27.70°, β = 27.70°, γ = 27.70°
Atoms (fractional coordinates):
Co  0.000  0.000  0.000
Br  0.273  0.273  0.273
Br  0.727  0.727  0.727
Cl  0.500  0.500  0.500


IrBr | PBE-GGA | relaxed

Its formation energy without anion corrections is 0.731 eV per atom. As for the total energy: -4.536 eV/atom. As for the space group: No. 176. The value obtained for the energy above the most stable polymorph in this dataset is 465 meV/atom. The density of states at the Fermi level is 2.86 states/eV/f.u.

a = 10.130 Å, b = 10.130 Å, c = 3.634 Å
α = 90.00°, β = 90.00°, γ = 120.00°
Atoms (fractional coordinates):
Ir  0.004  0.424  0.250
Ir  0.421  0.996  0.250
Ir  0.424  0.421  0.750
Ir  0.576  0.579  0.250
Ir  0.579  0.004  0.750
Ir  0.996  0.576  0.750
Br  0.144  0.335  0.750
Br  0.192  0.856  0.750
Br  0.335  0.192  0.250
Br  0.665  0.808  0.750
Br  0.808  0.144  0.250
Br  0.856  0.665  0.250


What did the sixth record say?
IrBr | PBE-GGA | relaxed

Its formation energy without anion corrections is 0.731 eV per atom. As for the total energy: -4.536 eV/atom. As for the space group: No. 176. The value obtained for the energy above the most stable polymorph in this dataset is 465 meV/atom. The density of states at the Fermi level is 2.86 states/eV/f.u.

a = 10.130 Å, b = 10.130 Å, c = 3.634 Å
α = 90.00°, β = 90.00°, γ = 120.00°
Atoms (fractional coordinates):
Ir  0.004  0.424  0.250
Ir  0.421  0.996  0.250
Ir  0.424  0.421  0.750
Ir  0.576  0.579  0.250
Ir  0.579  0.004  0.750
Ir  0.996  0.576  0.750
Br  0.144  0.335  0.750
Br  0.192  0.856  0.750
Br  0.335  0.192  0.250
Br  0.665  0.808  0.750
Br  0.808  0.144  0.250
Br  0.856  0.665  0.250